[1]
A plane-wave DFT calculation with PBE was carried out for crystalline ZrPt at its relaxed geometry.

Cell: 3.7342 3.7342 10.3543 Å, 90.00 90.00 120.00°
Space group R-3m (No. 166, hexagonal axes)
Inequivalent atoms, fractional coordinates:
Zr  0.0000  0.0000  0.0000 x3
Pt  0.0000  0.0000  0.5000 x3

Values from the calculation:
The value obtained for the calculated formation energy is -0.781 eV/atom. As for the volume: 20.84 Å³/atom. The total magnetic moment comes out at 0.000 Bohr magnetons per cell.

[2]
A plane-wave DFT calculation with PBE was carried out for crystalline SrCe4Te6 at its relaxed geometry.

Cell: 4.507 14.758 23.165 Å, 90.00 90.00 90.00°
Space group Cmcm (No. 63)
Inequivalent atoms, fractional coordinates:
Sr  0.000  0.162  0.250 x4
Ce  0.000  0.090  0.627 x8
Ce  0.000  0.361  0.539 x8
Te  0.000  0.000  0.000 x4
Te  0.000  0.175  0.750 x4
Te  0.000  0.270  0.088 x8
Te  0.000  0.451  0.664 x8

Values from the calculation:
As for the volume: 35.02 Å³/atom. The total magnetic moment comes out at 18.758 Bohr magnetons per cell. For the uncorrected formation energy, the calculation gives -1.41 eV/atom.

[3]
A plane-wave DFT calculation with PBE was carried out for crystalline Sm2Tm3Mg8 at its relaxed geometry.

Cell: 5.8555 5.8555 36.9247 Å, 90.00 90.00 120.00°
Space group R-3m (No. 166, hexagonal axes)
Inequivalent atoms, fractional coordinates:
Sm  0.0000  0.0000  0.1391 x6
Tm  0.0000  0.0000  0.3162 x6
Tm  0.0000  0.0000  0.5000 x3
Mg  0.0000  0.0000  0.2258 x6
Mg  0.0006  0.5003  0.2720 x18

Values from the calculation:
The value obtained for the calculated formation energy is 0.125 eV/atom. As for the volume: 28.11 Å³/atom. The total magnetic moment comes out at 0.055 Bohr magnetons per cell.

[4]
A plane-wave DFT calculation with PBE was carried out for crystalline AgBPd3 at its relaxed geometry.

Cell: 4.197 4.197 4.197 Å, 90.00 90.00 90.00°
Space group Pm-3m (No. 221)
Inequivalent atoms, fractional coordinates:
Ag  0.000  0.000  0.000 x1
B  0.500  0.500  0.500 x1
Pd  0.000  0.500  0.500 x3

Values from the calculation:
The calculation puts the offset from the most stable computed form at 0 kJ/mol of formula units. The value obtained for the calculated formation energy is -0.155 eV/atom. As for the volume: 14.78 Å³/atom. The total magnetic moment comes out at 0.000 Bohr magnetons per cell.

The evaluated total DFT energy (no corrections) for the records listed, in turn: -8.0753; -5.4324; -2.6137; -5.1761 eV/atom.